(1)
DFT (PBE) results for crystalline BaIn2Se at its relaxed geometry.

Computed properties:
As for the space group: R3m (160). Its uncorrected formation energy is -0.55 eV per atom. For the density of states at the Fermi level, the calculation gives 2.22 states/eV/f.u. The volume is 35.53 A^3/atom.

```
BaIn2Se
1.0
4.3885 0.0000 0.0000
-2.1942 3.8005 0.0000
0.0000 0.0000 25.5602
Ba In Se
3 6 3
direct
0.0000 0.0000 0.0000
0.3333 0.6667 0.6667
0.6667 0.3333 0.3333
0.0000 0.0000 0.2209
0.0000 0.0000 0.4817
0.3333 0.6667 0.1484
0.3333 0.6667 0.8876
0.6667 0.3333 0.5542
0.6667 0.3333 0.8151
0.0000 0.0000 0.7403
0.3333 0.6667 0.4069
0.6667 0.3333 0.0736
```

=====

(2)
DFT (PBE) results for crystalline P2S2O at its relaxed geometry.

Computed properties:
As for the space group: P4/mmm (123). Its uncorrected formation energy is 1.00 eV per atom. For the density of states at the Fermi level, the calculation gives 2.54 states/eV/f.u. The volume is 14.89 A^3/atom.

```
P2S2O
1.0
4.2467 0.0000 0.0000
0.0000 4.2467 0.0000
0.0000 0.0000 4.1292
P S O
2 2 1
direct
0.0000 0.0000 0.0000
0.5000 0.5000 0.0000
0.0000 0.5000 0.5000
0.5000 0.0000 0.5000
0.0000 0.0000 0.5000
```

=====

(3)
DFT (PBE) results for crystalline TmBi2Rh at its relaxed geometry.

Computed properties:
As for the space group: R-3m (166). For the density of states at the Fermi level, the calculation gives 1.76 states/eV/f.u. The volume is 27.27 A^3/atom.

```
TmBi2Rh
1.0
3.5399 0.0000 0.0000
-1.7700 3.0656 0.0000
0.0000 0.0000 30.1491
Tm Bi Rh
3 6 3
direct
0.0000 0.0000 0.0000
0.3333 0.6667 0.6667
0.6667 0.3333 0.3333
0.0000 0.0000 0.1035
0.0000 0.0000 0.8965
0.3333 0.6667 0.5631
0.3333 0.6667 0.7702
0.6667 0.3333 0.2298
0.6667 0.3333 0.4369
0.0000 0.0000 0.5000
0.3333 0.6667 0.1667
0.6667 0.3333 0.8333
```

=====

(4)
DFT (PBE) results for crystalline MgAsIrO6 at its relaxed geometry.

Computed properties:
As for the space group: P-31c (163). Its uncorrected formation energy is -1.34 eV per atom. For the density of states at the Fermi level, the calculation gives 4.19 states/eV/f.u. The volume is 11.01 A^3/atom.

```
MgAsIrO6
1.0
5.0432 0.0000 0.0000
-2.5216 4.3676 0.0000
0.0000 0.0000 8.9936
Mg As Ir O
2 2 2 12
direct
0.0000 0.0000 0.0000
0.0000 0.0000 0.5000
0.3333 0.6667 0.2500
0.6667 0.3333 0.7500
0.3333 0.6667 0.7500
0.6667 0.3333 0.2500
0.0149 0.3602 0.1362
0.0149 0.6547 0.3638
0.3453 0.3602 0.3638
0.3453 0.9851 0.1362
0.3602 0.0149 0.6362
0.3602 0.3453 0.8638
0.6398 0.6547 0.1362
0.6398 0.9851 0.3638
0.6547 0.0149 0.8638
0.6547 0.6398 0.6362
0.9851 0.3453 0.6362
0.9851 0.6398 0.8638
```

=====

(5)
DFT (PBE) results for crystalline CaPtS2N at its relaxed geometry.

Computed properties:
As for the space group: P4/mmm (123). Its uncorrected formation energy is -0.28 eV per atom. The calculation puts the energy relative to the lowest polymorph listed for this composition at 0 meV/atom. For the density of states at the Fermi level, the calculation gives 2.48 states/eV/f.u. The volume is 18.82 A^3/atom.

```
CaPtS2N
1.0
5.0253 0.0000 0.0000
0.0000 5.0253 0.0000
0.0000 0.0000 3.7269
Ca Pt S N
1 1 2 1
direct
0.0000 0.0000 0.0000
0.5000 0.5000 0.5000
0.0000 0.5000 0.5000
0.5000 0.0000 0.5000
0.5000 0.5000 0.0000
```

=====

(6)
DFT (PBE) results for crystalline TiIrI2 at its relaxed geometry.

Computed properties:
As for the space group: I-42d (122). Its uncorrected formation energy is 0.48 eV per atom. The calculation puts the energy relative to the lowest polymorph listed for this composition at 0 meV/atom. For the density of states at the Fermi level, the calculation gives 0.48 states/eV/f.u. The volume is 25.34 A^3/atom.

```
TiIrI2
1.0
5.0258 0.0000 0.0000
0.0000 5.0258 0.0000
0.0000 0.0000 16.0538
Ti Ir I
4 4 8
direct
0.0000 0.0000 0.0000
0.0000 0.5000 0.2500
0.5000 0.0000 0.7500
0.5000 0.5000 0.5000
0.0000 0.0000 0.5000
0.0000 0.5000 0.7500
0.5000 0.0000 0.2500
0.5000 0.5000 0.0000
0.2430 0.2500 0.6250
0.2500 0.7430 0.8750
0.2500 0.7570 0.3750
0.2570 0.2500 0.1250
0.7430 0.7500 0.1250
0.7500 0.2430 0.3750
0.7500 0.2570 0.8750
0.7570 0.7500 0.6250
```

=====

(7)
DFT (PBE) results for crystalline SrBe2Cu at its relaxed geometry.

Computed properties:
As for the space group: Fm-3m (225). The calculation puts the energy relative to the lowest polymorph listed for this composition at 623 meV/atom. For the density of states at the Fermi level, the calculation gives 4.26 states/eV/f.u. The volume is 16.97 A^3/atom.

```
SrBe2Cu
1.0
6.4751 0.0000 0.0000
0.0000 6.4751 0.0000
0.0000 0.0000 6.4751
Sr Be Cu
4 8 4
direct
0.0000 0.0000 0.0000
0.0000 0.5000 0.5000
0.5000 0.0000 0.5000
0.5000 0.5000 0.0000
0.2500 0.2500 0.2500
0.2500 0.2500 0.7500
0.2500 0.7500 0.2500
0.2500 0.7500 0.7500
0.7500 0.2500 0.2500
0.7500 0.2500 0.7500
0.7500 0.7500 0.2500
0.7500 0.7500 0.7500
0.0000 0.0000 0.5000
0.0000 0.5000 0.0000
0.5000 0.0000 0.0000
0.5000 0.5000 0.5000
```

=====

(8)
DFT (PBE) results for crystalline Tc2AgH2 at its relaxed geometry.

Computed properties:
As for the space group: P4/mbm (127). The calculation puts the energy relative to the lowest polymorph listed for this composition at 36 meV/atom. For the density of states at the Fermi level, the calculation gives 2.45 states/eV/f.u. The volume is 10.84 A^3/atom.

```
Tc2AgH2
1.0
6.1558 0.0000 0.0000
0.0000 6.1558 0.0000
0.0000 0.0000 2.8616
Tc Ag H
4 2 4
direct
0.1293 0.3707 0.0000
0.3707 0.8707 0.0000
0.6293 0.1293 0.0000
0.8707 0.6293 0.0000
0.0000 0.0000 0.5000
0.5000 0.5000 0.5000
0.1257 0.6257 0.5000
0.3743 0.1257 0.5000
0.6257 0.8743 0.5000
0.8743 0.3743 0.5000
```

=====

no.,E_tot (eV per atom)
1,-3.271
2,-3.804
3,-4.934
4,-6.323
5,-5.203
6,-4.489
7,-2.644
8,-5.482